Material: NaSrGaP2
Method: DFT, GGA-PBE
State: relaxed

Properties
The crystal system is monoclinic. The energy of formation is -620 meV per atom.

Unit cell a=4.1533 b=7.9746 c=8.2595 alpha=79.93 beta=75.44 gamma=74.91
Closest atoms and distances in Å follow each position.
Fractional positions:
Na  0.3537  0.3976  0.8950  4 P 2.73-2.98
Na  0.6463  0.6024  0.1050  4 P 2.73-2.98
Sr  0.7824  0.7965  0.6386  5 P 2.99-3.07
Sr  0.2176  0.2035  0.3614  5 P 2.99-3.07
Ga  0.0436  0.0961  0.8167  4 P 2.44-2.54
Ga  0.9564  0.9039  0.1833  4 P 2.44-2.54
P  0.4148  0.8159  0.3545  2 Ga 2.54, 1 Na 2.73
P  0.5852  0.1841  0.6455  2 Ga 2.54, 1 Na 2.73
P  0.8482  0.2188  0.0849  2 Ga 2.44-2.46
P  0.1518  0.7812  0.9151  2 Ga 2.44-2.46

=====

Material: Na3Sr3GaP4
Method: DFT, GGA-PBE
State: relaxed

Properties
The crystal system is hexagonal. The energy of formation is -783 meV per atom.

Unit cell a=9.4266 b=9.4266 c=7.3981 alpha=90.00 beta=90.00 gamma=120.00
Closest atoms and distances in Å follow each position.
Fractional positions:
Na  0.1348  0.8652  0.1699  3 P 2.89-3.02
Na  0.2696  0.1348  0.6699  3 P 2.89-3.02
Na  0.8652  0.7304  0.6699  3 P 2.89-3.02
Na  0.1348  0.2696  0.1699  3 P 2.89-3.02
Na  0.7304  0.8652  0.1699  3 P 2.89-3.02
Na  0.8652  0.1348  0.6699  3 P 2.89-3.02
Sr  0.9541  0.4771  0.9995  6 P 3.13-3.48, 1 Ga 3.23, 2 Na 3.41
Sr  0.5229  0.0459  0.9995  6 P 3.13-3.48, 1 Ga 3.23, 2 Na 3.41
Sr  0.4771  0.9541  0.4995  6 P 3.13-3.48, 1 Ga 3.23, 2 Na 3.41
Sr  0.0459  0.5229  0.4995  6 P 3.13-3.48, 1 Ga 3.23, 2 Na 3.41
Sr  0.5229  0.4771  0.9995  6 P 3.13-3.48, 1 Ga 3.23, 2 Na 3.41
Sr  0.4771  0.5229  0.4995  6 P 3.13-3.48, 1 Ga 3.23, 2 Na 3.41
Ga  0.6667  0.3333  0.3749  4 P 2.43-2.52
Ga  0.3333  0.6667  0.8749  4 P 2.43-2.52
P  0.3333  0.6667  0.2150  1 Ga 2.52
P  0.8094  0.1906  0.2800  1 Ga 2.43
P  0.6189  0.8094  0.7800  1 Ga 2.43
P  0.1906  0.3811  0.7800  1 Ga 2.43
P  0.8094  0.6189  0.2800  1 Ga 2.43
P  0.6667  0.3333  0.7150  1 Ga 2.52
P  0.3811  0.1906  0.2800  1 Ga 2.43
P  0.1906  0.8094  0.7800  1 Ga 2.43

=====

Material: NaTiGaP2
Method: DFT, GGA-PBE
State: relaxed

Properties
The crystal system is tetragonal. The energy of formation is -127 meV per atom.

Unit cell a=4.7533 b=4.9677 c=4.7533 alpha=90.00 beta=90.00 gamma=90.00
Closest atoms and distances in Å follow each position.
Fractional positions:
P  0.0000  0.0000  0.5000  2 Ti 2.38
P  0.5000  0.0000  0.0000  2 Ti 2.38
Na  0.5000  0.5000  0.5000  4 Ga 3.36, 8 P 3.44
Ga  0.0000  0.5000  0.0000  2 Ti 2.48
Ti  0.0000  0.0000  0.0000  4 P 2.38, 2 Ga 2.48

=====

Material: Na2GaPW
Method: DFT, GGA-PBE
State: relaxed

Properties
The crystal system is tetragonal. The energy of formation is 876 meV per atom.

Unit cell a=5.8219 b=4.6262 c=5.8219 alpha=90.00 beta=90.00 gamma=90.00
Closest atoms and distances in Å follow each position.
Fractional positions:
P  0.0000  0.5000  0.0000  2 W 2.31
Ga  0.5000  0.5000  0.5000  8 Na 3.72, 4 P 4.12
W  0.0000  0.0000  0.0000  2 P 2.31
Na  0.0000  0.0000  0.5000  2 W 2.91
Na  0.5000  0.0000  0.0000  2 W 2.91

=====

Material: NaPaGa
Method: DFT, GGA-PBE
State: relaxed

Properties
The crystal system is orthorhombic. The energy of formation is 97 meV per atom.

Unit cell a=3.1381 b=3.1378 c=17.0132 alpha=90.00 beta=90.00 gamma=120.00
Closest atoms and distances in Å follow each position.
Fractional positions:
Ga  0.6092  0.2184  0.0000  6 Pa 3.11-3.12, 6 Ga 3.14
Ga  0.2810  0.5620  0.5000  6 Ga 3.14, 6 Na 3.23-3.24
Na  0.6122  0.2243  0.3423  6 Na 3.14, 3 Ga 3.23-3.24
Na  0.6122  0.2243  0.6577  6 Na 3.14, 3 Ga 3.23-3.24
Pa  0.2760  0.5521  0.8510  3 Ga 3.11-3.12, 6 Pa 3.14
Pa  0.2760  0.5521  0.1490  3 Ga 3.11-3.12, 6 Pa 3.14

=====

Material: NaPaGa4
Method: DFT, GGA-PBE
State: relaxed

Properties
The crystal system is orthorhombic. The excess energy over the best structure of this formula in the dataset is 0 kJ/mol of formula units. The energy of formation is -212 meV per atom.

Unit cell a=3.1999 b=4.5846 c=8.1278 alpha=90.00 beta=90.00 gamma=90.00
Closest atoms and distances in Å follow each position.
Fractional positions:
Na  0.9986  0.9973  0.4982  12 Ga 3.10-3.15, 2 Na 3.20
Pa  0.9985  0.4973  0.9981  12 Ga 3.10-3.17, 2 Pa 3.20
Ga  0.4986  0.9973  0.1641  3 Ga 2.68-2.70
Ga  0.4986  0.9973  0.8322  3 Ga 2.68-2.70
Ga  0.4986  0.4973  0.6617  3 Ga 2.66-2.68
Ga  0.4986  0.4973  0.3346  3 Ga 2.66-2.68

=====

Material: NaPa2Ga
Method: DFT, GGA-PBE
State: relaxed

Properties
The crystal system is trigonal. The energy of formation is 174 meV per atom.

Unit cell a=3.1065 b=3.1065 c=12.1061 alpha=82.63 beta=82.63 gamma=60.00
Closest atoms and distances in Å follow each position.
Fractional positions:
Na  0.0000  0.0000  0.0000  6 Na 3.11, 2 Pa 3.42
Pa  0.0953  0.0953  0.7141  6 Pa 3.11, 3 Ga 3.13, 1 Na 3.42
Pa  0.9047  0.9047  0.2859  6 Pa 3.11, 3 Ga 3.13, 1 Na 3.42
Ga  0.5000  0.5000  0.5000  6 Ga 3.11, 6 Pa 3.13

=====

Material: NaPaGa4
Method: DFT, GGA-PBE
State: relaxed

Properties
The crystal system is cubic. The excess energy over the best structure of this formula in the dataset is 80 kJ/mol of formula units. The energy of formation is -74 meV per atom.

Unit cell a=5.5159 b=5.5159 c=5.5159 alpha=60.00 beta=60.00 gamma=60.00
Closest atoms and distances in Å follow each position.
Fractional positions:
Na  0.2500  0.2500  0.2500  12 Ga 3.24, 4 Pa 3.38
Pa  0.0000  0.0000  0.0000  12 Ga 3.23, 4 Na 3.38
Ga  0.6256  0.6256  0.1231  6 Ga 2.74-2.77
Ga  0.6256  0.1231  0.6256  6 Ga 2.74-2.77
Ga  0.6256  0.6256  0.6256  6 Ga 2.74-2.77
Ga  0.1231  0.6256  0.6256  6 Ga 2.74-2.77

=====

Material: NaPaGa4Pt2
Method: DFT, GGA-PBE
State: relaxed

Properties
The crystal system is tetragonal. The energy of formation is -431 meV per atom.

Unit cell a=3.8206 b=3.8206 c=11.7354 alpha=90.00 beta=90.00 gamma=90.00
Closest atoms and distances in Å follow each position.
Fractional positions:
Na  0.0000  0.0000  0.0000  8 Ga 3.22
Pa  0.0000  0.0000  0.5000  8 Pt 3.02
Ga  0.0000  0.5000  0.2206  4 Ga 2.70, 2 Pt 2.72
Ga  0.5000  0.0000  0.7794  4 Ga 2.70, 2 Pt 2.72
Ga  0.5000  0.0000  0.2206  4 Ga 2.70, 2 Pt 2.72
Ga  0.0000  0.5000  0.7794  4 Ga 2.70, 2 Pt 2.72
Pt  0.5000  0.5000  0.3858  1 Pt 2.68, 4 Ga 2.72
Pt  0.5000  0.5000  0.6142  1 Pt 2.68, 4 Ga 2.72

=====

Material: Na2PaGaS5
Method: DFT, GGA-PBE
State: relaxed

Properties
The uncorrected formation energy is -1199 meV/atom. The crystal system is orthorhombic.

Unit cell a=3.9876 b=8.9157 c=13.3251 alpha=90.00 beta=90.00 gamma=102.92
Closest atoms and distances in Å follow each position.
Fractional positions:
Na  0.9057  0.8115  0.8547  4 S 2.86-2.96
Na  0.0779  0.1557  0.6548  5 S 2.86-3.10
Na  0.0943  0.1885  0.3547  4 S 2.86-2.96
Na  0.9221  0.8443  0.1548  5 S 2.86-3.10
Pa  0.7741  0.5481  0.5347  6 S 2.49-2.78
Pa  0.2259  0.4519  0.0347  6 S 2.49-2.78
Ga  0.5779  0.1559  0.9151  4 S 2.18-2.43
Ga  0.4221  0.8441  0.4151  4 S 2.18-2.43
S  0.3682  0.7365  0.0111  1 Pa 2.49
S  0.7129  0.4258  0.8951  1 Ga 2.36
S  0.5085  0.0170  0.7789  1 Ga 2.18
S  0.2818  0.5636  0.6614  2 Pa 2.62
S  0.9337  0.8675  0.5182  2 Ga 2.43
S  0.6318  0.2635  0.5111  1 Pa 2.49
S  0.2871  0.5742  0.3951  1 Ga 2.36
S  0.4915  0.9830  0.2789  1 Ga 2.18
S  0.7182  0.4364  0.1614  2 Pa 2.62
S  0.0663  0.1325  0.0182  2 Ga 2.43

=====

Material: Na2PaGaSe5
Method: DFT, GGA-PBE
State: relaxed

Properties
The uncorrected formation energy is -1072 meV/atom. The crystal system is orthorhombic.

Unit cell a=4.1325 b=9.3508 c=13.9010 alpha=90.00 beta=90.00 gamma=102.77
Closest atoms and distances in Å follow each position.
Fractional positions:
Na  0.9105  0.8211  0.8569  4 Se 2.97-3.06
Na  0.0885  0.1770  0.6591  4 Se 2.99-3.03
Na  0.0895  0.1789  0.3569  4 Se 2.97-3.06
Na  0.9115  0.8230  0.1591  4 Se 2.99-3.03
Pa  0.7753  0.5505  0.5317  6 Se 2.64-2.91
Pa  0.2247  0.4495  0.0317  6 Se 2.64-2.91
Ga  0.5788  0.1576  0.9160  4 Se 2.33-2.56
Ga  0.4212  0.8424  0.4160  4 Se 2.33-2.56
Se  0.3685  0.7370  0.0097  1 Pa 2.64
Se  0.7143  0.4286  0.8892  1 Ga 2.50
Se  0.5097  0.0195  0.7753  1 Ga 2.33
Se  0.2829  0.5658  0.6625  2 Pa 2.76
Se  0.9349  0.8699  0.5235  2 Ga 2.56
Se  0.6315  0.2630  0.5097  1 Pa 2.64
Se  0.2857  0.5714  0.3892  1 Ga 2.50
Se  0.4903  0.9805  0.2753  1 Ga 2.33
Se  0.7171  0.4342  0.1625  2 Pa 2.76
Se  0.0651  0.1301  0.0235  2 Ga 2.56

=====

Material: Na2PaGaTe5
Method: DFT, GGA-PBE
State: relaxed

Properties
The uncorrected formation energy is -704 meV/atom. The crystal system is orthorhombic.

Unit cell a=4.3686 b=10.1151 c=14.5304 alpha=90.00 beta=90.00 gamma=102.47
Closest atoms and distances in Å follow each position.
Fractional positions:
Na  0.9073  0.8147  0.8470  4 Te 3.18-3.30
Na  0.0999  0.1997  0.6619  4 Te 3.22-3.25
Na  0.0927  0.1853  0.3471  4 Te 3.18-3.30
Na  0.9001  0.8003  0.1619  4 Te 3.22-3.25
Pa  0.7839  0.5679  0.5321  6 Te 2.88-3.13
Pa  0.2161  0.4321  0.0321  6 Te 2.88-3.13
Ga  0.5735  0.1470  0.9201  4 Te 2.56-2.76
Ga  0.4265  0.8530  0.4201  4 Te 2.56-2.76
Te  0.3607  0.7213  0.0052  1 Pa 2.88
Te  0.7083  0.4166  0.8836  1 Ga 2.72
Te  0.5086  0.0173  0.7678  1 Ga 2.56
Te  0.2933  0.5866  0.6722  2 Pa 2.99
Te  0.9425  0.8849  0.5339  2 Ga 2.76
Te  0.6393  0.2787  0.5052  1 Pa 2.88
Te  0.2917  0.5834  0.3836  1 Ga 2.72
Te  0.4914  0.9827  0.2678  1 Ga 2.56
Te  0.7067  0.4134  0.1722  2 Pa 2.99
Te  0.0575  0.1151  0.0339  2 Ga 2.76

=====

Values for E, eV per cell, ordered as above
-39.896, -84.566, -23.697, -19.647, -27.102, -24.196, -22.643, -23.364, -38.450, -93.180, -84.457, -74.410